Entry 1:
Here is a geometry-optimized YTlSiO4 structure from Alexandria via LeMat-Bulk. Energies are from PBE.

Cell: 5.7379 5.6739 7.8021 Å, 90.00 105.88 90.00°
With the nearest neighbours (Å) after each atom.
Fractional coordinates of all 14 atoms:
Si1 0.7442 0.2500 0.6457  4 O 1.64-1.66
Si2 0.2558 0.7500 0.3543  4 O 1.64-1.66
O1 0.5556 0.2500 0.4425  1 Si 1.66
O2 0.4444 0.7500 0.5575  1 Si 1.66
O3 0.4315 0.7500 0.2206  1 Si 1.64
O4 0.0676 0.5241 0.3384  1 Si 1.66
O5 0.9324 0.4759 0.6616  1 Si 1.66
O6 0.5685 0.2500 0.7794  1 Si 1.64
O7 0.9324 0.0241 0.6616  1 Si 1.66
O8 0.0676 0.9759 0.3384  1 Si 1.66
Y1 0.7844 0.7500 0.4450  6 O 2.28-2.39
Y2 0.2156 0.2500 0.5550  6 O 2.28-2.39
Tl1 0.6829 0.7500 0.8949  1 O 2.61
Tl2 0.3171 0.2500 0.1051  1 O 2.61

Computed properties:
space-group type: P2_1/m (11)
total magnetization: 0.00 Bohr magnetons per cell
crystal system: monoclinic

=====

Entry 2:
Here is a geometry-optimized Tm2SiO structure from Alexandria via LeMat-Bulk. Energies are from PBE.

Cell: 4.3925 4.3925 7.2612 Å, 72.39 72.39 60.00°
With the nearest neighbours (Å) after each atom.
Fractional coordinates of all 4 atoms:
Tm1 0.0981 0.0981 0.7057  1 O 2.00
Tm2 0.9019 0.9019 0.2943  1 O 2.00
O1 0.0000 0.0000 0.0000  2 Tm 2.00
Si1 0.5000 0.5000 0.5000  6 Tm 2.90

Computed properties:
space-group type: R-3m (166)
total magnetization: 0.00 Bohr magnetons per cell
crystal system: trigonal
ΔE to the lowest computed polymorph: 193.8 meV/atom

=====

Entry 3:
Here is a geometry-optimized Tm12Si3O5 structure from Alexandria via LeMat-Bulk. Energies are from PBE.

Cell: 12.9108 12.9108 12.9108 Å, 109.47 109.47 109.47°
With the nearest neighbours (Å) after each atom.
Fractional coordinates of all 80 atoms:
Si1 0.3750 0.6250 0.2500  8 Tm 2.94-3.00
Si2 0.6250 0.3750 0.7500  8 Tm 2.94-3.00
Si3 0.1250 0.2500 0.8750  8 Tm 2.94-3.00
Si4 0.8750 0.7500 0.1250  8 Tm 2.94-3.00
Si5 0.3750 0.7500 0.6250  8 Tm 2.94-3.00
Si6 0.2500 0.1250 0.3750  8 Tm 2.94-3.00
Si7 0.6250 0.2500 0.3750  8 Tm 2.94-3.00
Si8 0.7500 0.3750 0.1250  8 Tm 2.94-3.00
Si9 0.2500 0.6250 0.8750  8 Tm 2.94-3.00
Si10 0.7500 0.8750 0.6250  8 Tm 2.94-3.00
Si11 0.8750 0.1250 0.2500  8 Tm 2.94-3.00
Si12 0.1250 0.8750 0.7500  8 Tm 2.94-3.00
Tm1 0.5966 0.9827 0.6863  1 O 2.15
Tm2 0.1139 0.4103 0.0966  1 O 2.15
Tm3 0.6863 0.4827 0.5966  1 O 2.15
Tm4 0.2964 0.8861 0.9827  1 O 2.15
Tm5 0.4034 0.3861 0.5897  1 O 2.15
Tm6 0.7964 0.3137 0.9103  1 O 2.15
Tm7 0.9103 0.8137 0.7964  1 O 2.15
Tm8 0.5897 0.7036 0.6863  1 O 2.15
Tm9 0.5966 0.6139 0.4103  1 O 2.15
Tm10 0.4103 0.1139 0.5966  1 O 2.15
Tm11 0.0897 0.1863 0.2036  1 O 2.15
Tm12 0.0173 0.6139 0.7036  1 O 2.15
Tm13 0.2964 0.4103 0.8137  1 O 2.15
Tm14 0.9034 0.8137 0.5173  1 O 2.15
Tm15 0.4034 0.0173 0.3137  1 O 2.15
Tm16 0.0173 0.4034 0.8137  1 O 2.15
Tm17 0.5897 0.8861 0.4034  1 O 2.15
Tm18 0.6139 0.5966 0.9103  1 O 2.15
Tm19 0.1863 0.0897 0.7036  1 O 2.15
Tm20 0.8137 0.9103 0.2964  1 O 2.15
Tm21 0.2036 0.5173 0.6139  1 O 2.15
Tm22 0.8861 0.5897 0.9034  1 O 2.15
Tm23 0.5173 0.2036 0.1139  1 O 2.15
Tm24 0.9827 0.5966 0.1863  1 O 2.15
Tm25 0.0966 0.1863 0.4827  1 O 2.15
Tm26 0.9827 0.3861 0.2964  1 O 2.15
Tm27 0.9034 0.0897 0.8861  1 O 2.15
Tm28 0.3137 0.7964 0.4103  1 O 2.15
Tm29 0.4827 0.7964 0.8861  1 O 2.15
Tm30 0.3861 0.9827 0.7964  1 O 2.15
Tm31 0.1863 0.0966 0.9827  1 O 2.15
Tm32 0.7964 0.4827 0.3861  1 O 2.15
Tm33 0.2036 0.6863 0.0897  1 O 2.15
Tm34 0.7036 0.1139 0.0173  1 O 2.15
Tm35 0.6139 0.0173 0.2036  1 O 2.15
Tm36 0.1139 0.7036 0.5173  1 O 2.15
Tm37 0.0897 0.9034 0.3861  1 O 2.15
Tm38 0.3861 0.4034 0.0897  1 O 2.15
Tm39 0.4103 0.2964 0.3137  1 O 2.15
Tm40 0.0966 0.9103 0.1139  1 O 2.15
Tm41 0.4827 0.6863 0.0966  1 O 2.15
Tm42 0.3137 0.5173 0.4034  1 O 2.15
Tm43 0.7036 0.5897 0.1863  1 O 2.15
Tm44 0.5173 0.3137 0.9034  1 O 2.15
Tm45 0.8137 0.9034 0.0173  1 O 2.15
Tm46 0.8861 0.2964 0.4827  1 O 2.15
Tm47 0.9103 0.0966 0.6139  1 O 2.15
Tm48 0.6863 0.2036 0.5897  1 O 2.15
O1 0.5000 0.0000 0.5000  6 Tm 2.44
O2 0.5000 0.5000 0.0000  6 Tm 2.44
O3 0.0000 0.0000 0.5000  6 Tm 2.44
O4 0.8750 0.6250 0.7500  4 Tm 2.15
O5 0.1250 0.3750 0.2500  4 Tm 2.15
O6 0.2500 0.3750 0.6250  4 Tm 2.15
O7 0.2500 0.8750 0.1250  4 Tm 2.15
O8 0.6250 0.8750 0.2500  4 Tm 2.15
O9 0.3750 0.2500 0.1250  4 Tm 2.15
O10 0.1250 0.7500 0.3750  4 Tm 2.15
O11 0.6250 0.7500 0.8750  4 Tm 2.15
O12 0.0000 0.0000 0.0000  6 Tm 2.44
O13 0.7500 0.1250 0.8750  4 Tm 2.15
O14 0.5000 0.0000 0.0000  6 Tm 2.44
O15 0.5000 0.5000 0.5000  6 Tm 2.44
O16 0.8750 0.2500 0.6250  4 Tm 2.15
O17 0.3750 0.1250 0.7500  4 Tm 2.15
O18 0.0000 0.5000 0.5000  6 Tm 2.44
O19 0.7500 0.6250 0.3750  4 Tm 2.15
O20 0.0000 0.5000 0.0000  6 Tm 2.44

Computed properties:
space-group type: Ia-3d (230)
total magnetization: 0.00 Bohr magnetons per cell
crystal system: cubic

=====

| no. | DFT total energy (eV/cell) | ΔE_f (raw) (eV/atom) |
| --- | --- | --- |
| 1 | -104.7 | -2.606 |
| 2 | -25.3 | -1.489 |
| 3 | -510.6 | -1.646 |